1.
Material: BeAu2Se
Method: DFT, meta-GGA SCAN
State: single point on PBEsol structure

Cell: 2.913 4.018 6.153 Å, 100.93 90.00 111.25°
Positions (direct):
Be (0.000, 0.000, 0.500)
Au (0.720, 0.439, 0.692)
Au (0.280, 0.561, 0.308)
Se (0.500, 0.000, 0.000)

## Properties
Volume in Å³/atom: 16.4
Calculated total energy in eV per atom: -40.700

***

2.
Material: MgTl3I
Method: DFT, meta-GGA SCAN
State: single point on PBEsol structure

Cell: 5.557 5.557 5.557 Å, 90.00 90.00 90.00°
Positions (direct):
I (0.500, 0.500, 0.500)
Tl (0.000, 0.500, 0.000)
Tl (0.000, 0.000, 0.500)
Tl (0.500, 0.000, 0.000)
Mg (0.000, 0.000, 0.000)

## Properties
Volume in Å³/atom: 34.3
Calculated total energy in eV per atom: -51.814

***

no.,theoretical density (g/cm³)
1,12.2
2,7.4